[1]
# La2PrZn4Si4, optimized geometry, DFT PBE-GGA
# * total magnetic moment: 0.009 Bohr magnetons per cell
# * electronic total energy: -47.8 eV/f.u.
data_La2PrZn4Si4
_symmetry_space_group_name_H-M 'I m m m'
_symmetry_Int_Tables_number 71
_symmetry_space_group_name_Hall '-I 2 2'
_cell_length_a 4.222
_cell_length_b 4.255
_cell_length_c 24.816
_cell_angle_alpha 90.00
_cell_angle_beta 90.00
_cell_angle_gamma 90.00
loop_
_atom_site_label
_atom_site_type_symbol
_atom_site_fract_x
_atom_site_fract_y
_atom_site_fract_z
_atom_site_occupancy
La1 La 0.000 0.000 0.146 1
Pr1 Pr 0.000 0.500 0.500 1
Zn1 Zn 0.000 0.000 0.406 1
Zn2 Zn 0.000 0.500 0.250 1
Si1 Si 0.000 0.000 0.308 1
Si2 Si 0.000 0.500 0.048 1

---

[2]
# LaPrZn2Si2, optimized geometry, DFT PBE-GGA
# * total magnetic moment: 0.024 Bohr magnetons per cell
# * electronic total energy: -26.9 eV/f.u.
data_LaPrZn2Si2
_symmetry_space_group_name_H-M 'P -3 m 1'
_symmetry_Int_Tables_number 164
_symmetry_space_group_name_Hall '-P 3 2"'
_cell_length_a 4.2061
_cell_length_b 4.2061
_cell_length_c 8.6368
_cell_angle_alpha 90.00
_cell_angle_beta 90.00
_cell_angle_gamma 120.00
loop_
_atom_site_label
_atom_site_type_symbol
_atom_site_fract_x
_atom_site_fract_y
_atom_site_fract_z
_atom_site_occupancy
La1 La 0.0000 0.0000 0.0000 1
Pr1 Pr 0.0000 0.0000 0.5000 1
Zn1 Zn 0.3333 0.6667 0.7484 1
Si1 Si 0.3333 0.6667 0.2513 1

---

[3]
# LaPrSm, optimized geometry, DFT PBE-GGA
# * E above lowest polymorph: 0.00 eV/f.u.
# * formation energy: 0.66 eV per atom
# * total magnetic moment: 0.058 Bohr magnetons per cell
# * electronic total energy: -12.4 eV/f.u.
data_LaPrSm
_symmetry_space_group_name_H-M 'F -4 3 m'
_symmetry_Int_Tables_number 216
_symmetry_space_group_name_Hall 'F -4 2 3'
_cell_length_a 7.924
_cell_length_b 7.924
_cell_length_c 7.924
_cell_angle_alpha 90.00
_cell_angle_beta 90.00
_cell_angle_gamma 90.00
loop_
_atom_site_label
_atom_site_type_symbol
_atom_site_fract_x
_atom_site_fract_y
_atom_site_fract_z
_atom_site_occupancy
La1 La 0.000 0.000 0.000 1
Pr1 Pr 0.000 0.000 0.500 1
Sm1 Sm 0.250 0.250 0.250 1

---

[4]
# LaPrSn, optimized geometry, DFT PBE-GGA
# * total magnetic moment: 0.416 Bohr magnetons per cell
# * electronic total energy: -15.1 eV/f.u.
data_LaPrSn
_symmetry_space_group_name_H-M 'F -4 3 m'
_symmetry_Int_Tables_number 216
_symmetry_space_group_name_Hall 'F -4 2 3'
_cell_length_a 7.606
_cell_length_b 7.606
_cell_length_c 7.606
_cell_angle_alpha 90.00
_cell_angle_beta 90.00
_cell_angle_gamma 90.00
loop_
_atom_site_label
_atom_site_type_symbol
_atom_site_fract_x
_atom_site_fract_y
_atom_site_fract_z
_atom_site_occupancy
La1 La 0.000 0.000 0.000 1
Pr1 Pr 0.000 0.000 0.500 1
Sn1 Sn 0.250 0.250 0.250 1

---

[5]
# LaPr2Sn, optimized geometry, DFT PBE-GGA
# * total magnetic moment: 0.022 Bohr magnetons per cell
# * electronic total energy: -20.3 eV/f.u.
data_LaPr2Sn
_symmetry_space_group_name_H-M 'P 4/m m m'
_symmetry_Int_Tables_number 123
_symmetry_space_group_name_Hall '-P 4 2'
_cell_length_a 5.011
_cell_length_b 5.011
_cell_length_c 4.989
_cell_angle_alpha 90.00
_cell_angle_beta 90.00
_cell_angle_gamma 90.00
loop_
_atom_site_label
_atom_site_type_symbol
_atom_site_fract_x
_atom_site_fract_y
_atom_site_fract_z
_atom_site_occupancy
La1 La 0.000 0.000 0.000 1
Pr1 Pr 0.000 0.500 0.500 1
Sn1 Sn 0.500 0.500 0.000 1

---

[6]
# LaPrZn6Sn3, optimized geometry, DFT PBE-GGA
# * total magnetic moment: 0.001 Bohr magnetons per cell
# * electronic total energy: -33.1 eV/f.u.
data_LaPrZn6Sn3
_symmetry_space_group_name_H-M 'P -6'
_symmetry_Int_Tables_number 174
_cell_length_a 8.0306
_cell_length_b 8.0306
_cell_length_c 4.3143
_cell_angle_alpha 90.00
_cell_angle_beta 90.00
_cell_angle_gamma 120.00
loop_
_symmetry_equiv_pos_as_xyz
'x,y,z'
'-x+y,-x,-z'
'-y,x-y,z'
'x,y,-z'
'-x+y,-x,z'
'-y,x-y,-z'
loop_
_atom_site_label
_atom_site_type_symbol
_atom_site_fract_x
_atom_site_fract_y
_atom_site_fract_z
_atom_site_occupancy
La1 La 0.0000 0.0000 0.0000 1
Pr1 Pr 0.6667 0.3333 0.0000 1
Zn1 Zn 0.0582 0.6686 0.5000 1
Zn2 Zn 0.1485 0.4878 0.0000 1
Sn1 Sn 0.3353 0.0547 0.5000 1

---

[7]
# SrLaPr, optimized geometry, DFT PBE-GGA
# * E above lowest polymorph: 0.00 eV/f.u.
# * total magnetic moment: 0.326 Bohr magnetons per cell
# * electronic total energy: -9.2 eV/f.u.
data_SrLaPr
_symmetry_space_group_name_H-M 'F -4 3 m'
_symmetry_Int_Tables_number 216
_symmetry_space_group_name_Hall 'F -4 2 3'
_cell_length_a 8.304
_cell_length_b 8.304
_cell_length_c 8.304
_cell_angle_alpha 90.00
_cell_angle_beta 90.00
_cell_angle_gamma 90.00
loop_
_atom_site_label
_atom_site_type_symbol
_atom_site_fract_x
_atom_site_fract_y
_atom_site_fract_z
_atom_site_occupancy
Sr1 Sr 0.000 0.000 0.000 1
La1 La 0.000 0.000 0.500 1
Pr1 Pr 0.250 0.250 0.750 1

---

[8]
# LaTbPr, optimized geometry, DFT PBE-GGA
# * E above lowest polymorph: 0.00 eV/f.u.
# * formation energy: 0.70 eV per atom
# * total magnetic moment: 0.103 Bohr magnetons per cell
# * electronic total energy: -12.2 eV/f.u.
data_LaTbPr
_symmetry_space_group_name_H-M 'F -4 3 m'
_symmetry_Int_Tables_number 216
_symmetry_space_group_name_Hall 'F -4 2 3'
_cell_length_a 7.861
_cell_length_b 7.861
_cell_length_c 7.861
_cell_angle_alpha 90.00
_cell_angle_beta 90.00
_cell_angle_gamma 90.00
loop_
_atom_site_label
_atom_site_type_symbol
_atom_site_fract_x
_atom_site_fract_y
_atom_site_fract_z
_atom_site_occupancy
La1 La 0.000 0.000 0.000 1
Tb1 Tb 0.000 0.000 0.500 1
Pr1 Pr 0.250 0.250 0.250 1

---

[9]
# LaPrTc, optimized geometry, DFT PBE-GGA
# * E above lowest polymorph: 0.00 eV/f.u.
# * formation energy: 0.85 eV per atom
# * total magnetic moment: 1.758 Bohr magnetons per cell
# * electronic total energy: -17.5 eV/f.u.
data_LaPrTc
_symmetry_space_group_name_H-M 'F -4 3 m'
_symmetry_Int_Tables_number 216
_symmetry_space_group_name_Hall 'F -4 2 3'
_cell_length_a 6.911
_cell_length_b 6.911
_cell_length_c 6.911
_cell_angle_alpha 90.00
_cell_angle_beta 90.00
_cell_angle_gamma 90.00
loop_
_atom_site_label
_atom_site_type_symbol
_atom_site_fract_x
_atom_site_fract_y
_atom_site_fract_z
_atom_site_occupancy
La1 La 0.000 0.000 0.000 1
Pr1 Pr 0.250 0.250 0.250 1
Tc1 Tc 0.000 0.000 0.500 1

---

[10]
# La2PrTe3, optimized geometry, DFT PBE-GGA
# * total magnetic moment: 0.004 Bohr magnetons per cell
# * electronic total energy: -33.3 eV/f.u.
data_La2PrTe3
_symmetry_space_group_name_H-M 'P -3 m 1'
_symmetry_Int_Tables_number 164
_symmetry_space_group_name_Hall '-P 3 2"'
_cell_length_a 4.5585
_cell_length_b 4.5585
_cell_length_c 11.2143
_cell_angle_alpha 90.00
_cell_angle_beta 90.00
_cell_angle_gamma 120.00
loop_
_atom_site_label
_atom_site_type_symbol
_atom_site_fract_x
_atom_site_fract_y
_atom_site_fract_z
_atom_site_occupancy
La1 La 0.3333 0.6667 0.1668 1
Pr1 Pr 0.0000 0.0000 0.5000 1
Te1 Te 0.0000 0.0000 0.0000 1
Te2 Te 0.3333 0.6667 0.6663 1

---

[11]
# LaPr2Te3, optimized geometry, DFT PBE-GGA
# * total magnetic moment: 0.011 Bohr magnetons per cell
# * electronic total energy: -32.9 eV/f.u.
data_LaPr2Te3
_symmetry_space_group_name_H-M 'P -3 m 1'
_symmetry_Int_Tables_number 164
_symmetry_space_group_name_Hall '-P 3 2"'
_cell_length_a 4.5418
_cell_length_b 4.5418
_cell_length_c 11.1730
_cell_angle_alpha 90.00
_cell_angle_beta 90.00
_cell_angle_gamma 120.00
loop_
_atom_site_label
_atom_site_type_symbol
_atom_site_fract_x
_atom_site_fract_y
_atom_site_fract_z
_atom_site_occupancy
La1 La 0.0000 0.0000 0.0000 1
Pr1 Pr 0.3333 0.6667 0.6666 1
Te1 Te 0.0000 0.0000 0.5000 1
Te2 Te 0.3333 0.6667 0.1671 1

---

[12]
# LaPrTe4, optimized geometry, DFT PBE-GGA
# * total magnetic moment: 0.005 Bohr magnetons per cell
# * electronic total energy: -30.3 eV/f.u.
data_LaPrTe4
_symmetry_space_group_name_H-M 'P 4 m m'
_symmetry_Int_Tables_number 99
_cell_length_a 4.542
_cell_length_b 4.542
_cell_length_c 9.223
_cell_angle_alpha 90.00
_cell_angle_beta 90.00
_cell_angle_gamma 90.00
loop_
_symmetry_equiv_pos_as_xyz
'x,y,z'
'-y,x,z'
'-x,-y,z'
'y,-x,z'
'-x,y,z'
'y,x,z'
'x,-y,z'
'-y,-x,z'
loop_
_atom_site_label
_atom_site_type_symbol
_atom_site_fract_x
_atom_site_fract_y
_atom_site_fract_z
_atom_site_occupancy
La1 La 0.000 0.000 0.000 1
Pr1 Pr 0.500 0.500 0.450 1
Te1 Te 0.000 0.000 0.358 1
Te2 Te 0.000 0.500 0.725 1
Te3 Te 0.500 0.500 0.092 1